# 1
Compound: CaNdY4
Source: the Alexandria database
Functional: PBE
Structure: relaxed

abc: 17.6835 3.6512 6.3494
angles: 90.00 96.85 90.00
Closest atoms and distances in Å follow each position.
Fractional positions:
Ca1 0.0000 0.0000 0.0000  2 Ca 3.65, 6 Y 3.65-3.69, 4 Nd 3.66
Ca2 0.5000 0.5000 0.0000  2 Ca 3.65, 6 Y 3.65-3.69, 4 Nd 3.66
Nd1 0.0000 0.5000 0.5000  6 Y 3.63-3.68, 2 Nd 3.65, 4 Ca 3.66
Nd2 0.5000 0.0000 0.5000  6 Y 3.63-3.68, 2 Nd 3.65, 4 Ca 3.66
Y1 0.1685 0.0000 0.3929  9 Y 3.51-3.70, 2 Nd 3.63, 1 Ca 3.65
Y2 0.1719 0.5000 0.8875  9 Y 3.47-3.70, 1 Nd 3.68, 2 Ca 3.69
Y3 0.3281 0.0000 0.1125  9 Y 3.47-3.70, 1 Nd 3.68, 2 Ca 3.69
Y4 0.3315 0.5000 0.6071  9 Y 3.51-3.70, 2 Nd 3.63, 1 Ca 3.65
Y5 0.6685 0.5000 0.3929  9 Y 3.51-3.70, 2 Nd 3.63, 1 Ca 3.65
Y6 0.6719 0.0000 0.8875  9 Y 3.47-3.70, 1 Nd 3.68, 2 Ca 3.69
Y7 0.8281 0.5000 0.1125  9 Y 3.47-3.70, 1 Nd 3.68, 2 Ca 3.69
Y8 0.8315 0.0000 0.6071  9 Y 3.51-3.70, 2 Nd 3.63, 1 Ca 3.65

Properties
- formation energy from the elements (eV per atom) = 0.04
- crystal system = monoclinic

***

# 2
Compound: TiSbRh3
Source: the Alexandria database
Functional: PBE
Structure: relaxed

abc: 4.7570 4.7570 4.7570
angles: 90.00 90.00 90.00
Closest atoms and distances in Å follow each position.
Fractional positions:
Ti1 0.0000 0.0000 0.0000  12 Rh 3.36
Sb1 0.5000 0.5000 0.5000  6 Rh 2.38
Rh1 0.0000 0.5000 0.5000  2 Sb 2.38
Rh2 0.5000 0.0000 0.5000  2 Sb 2.38
Rh3 0.5000 0.5000 0.0000  2 Sb 2.38

Properties
- raw formation energy (eV per formula unit) = 4.257
- crystal system = cubic

***

# 3
Compound: Tl3GaAu2
Source: the Alexandria database
Functional: PBE
Structure: relaxed

abc: 8.6410 8.6410 11.5039
angles: 112.72 112.72 23.02
Closest atoms and distances in Å follow each position.
Fractional positions:
Tl1 0.0424 0.0424 0.1861  3 Au 3.12-3.16, 2 Tl 3.45
Tl2 0.2446 0.2446 0.6384  4 Au 3.01-3.12
Tl3 0.3365 0.3365 0.9613  3 Au 3.04-3.07
Tl4 0.6635 0.6635 0.0387  3 Au 3.04-3.07
Tl5 0.7554 0.7554 0.3616  4 Au 3.01-3.12
Tl6 0.9576 0.9576 0.8139  3 Au 3.12-3.16, 2 Tl 3.45
Ga1 0.4372 0.4372 0.3668  4 Au 2.60-2.62
Ga2 0.5628 0.5628 0.6332  4 Au 2.60-2.62
Au1 0.1412 0.1412 0.8105  2 Ga 2.60
Au2 0.3961 0.3961 0.5638  2 Ga 2.61-2.62
Au3 0.6039 0.6039 0.4362  2 Ga 2.61-2.62
Au4 0.8588 0.8588 0.1895  2 Ga 2.60

Properties
- formation energy from the elements (eV per atom) = -0.06
- crystal system = monoclinic

***

# 4
Compound: RbLa2AuS4
Source: the Alexandria database
Functional: PBE
Structure: relaxed

abc: 7.4880 7.4880 14.5369
angles: 90.00 90.00 147.11
Closest atoms and distances in Å follow each position.
Fractional positions:
Rb1 0.1138 0.8862 0.7500  6 S 3.30-3.48
Rb2 0.8862 0.1138 0.2500  6 S 3.30-3.48
La1 0.3675 0.6325 0.5640  6 S 2.87-3.00
La2 0.3675 0.6325 0.9360  6 S 2.87-3.00
La3 0.6325 0.3675 0.0640  6 S 2.87-3.00
La4 0.6325 0.3675 0.4360  6 S 2.87-3.00
Au1 0.1584 0.8416 0.2500  4 S 2.53-2.56
Au2 0.8416 0.1584 0.7500  4 S 2.53-2.56
S1 0.0000 0.0000 0.0000  4 La 3.00
S2 0.0000 0.0000 0.5000  4 La 3.00
S3 0.2610 0.7390 0.1057  1 Au 2.56
S4 0.2610 0.7390 0.3943  1 Au 2.56
S5 0.4379 0.5621 0.7500  2 Au 2.53
S6 0.5621 0.4379 0.2500  2 Au 2.53
S7 0.7390 0.2610 0.6057  1 Au 2.56
S8 0.7390 0.2610 0.8943  1 Au 2.56

Properties
- raw formation energy (eV per formula unit) = -13.072
- crystal system = orthorhombic